[1]
Compound: FeRe3Pb
Source: the Alexandria database
Functional: GGA-PBEsol
Structure: relaxed

Summary:
V = 114 Å³/cell
DFT formation energy = 3.68 eV per atom

a = 4.8472 Å, b = 4.8472 Å, c = 4.8472 Å
α = 90.00°, β = 90.00°, γ = 90.00°
With the nearest neighbours (Å) after each atom.
Space group Pm-3m (No. 221)
Inequivalent atoms, fractional coordinates:
Fe1 0.0000 0.0000 0.0000 [1 per cell]  12 Re 3.43
Re1 0.0000 0.5000 0.5000 [3 per cell]  2 Pb 2.42
Pb1 0.5000 0.5000 0.5000 [1 per cell]  6 Re 2.42

[2]
Compound: FeRh2Pb
Source: the Alexandria database
Functional: GGA-PBEsol
Structure: relaxed

Summary:
V = 194 Å³/cell
DFT formation energy = 0.34 eV per atom

a = 3.0191 Å, b = 3.0191 Å, c = 24.5188 Å
α = 90.00°, β = 90.00°, γ = 120.00°
With the nearest neighbours (Å) after each atom.
Space group R-3m (No. 166, hexagonal axes)
Inequivalent atoms, fractional coordinates:
Fe1 0.0000 0.0000 0.0000 [3 per cell]  6 Rh 2.52
Rh1 0.0000 0.0000 0.2593 [6 per cell]  3 Fe 2.52
Pb1 0.0000 0.0000 0.5000 [3 per cell]  6 Rh 2.86, 6 Pb 3.02

[3]
Compound: FeRhPb2
Source: the Alexandria database
Functional: GGA-PBEsol
Structure: relaxed

Summary:
V = 144 Å³/cell
Energy relative to the lowest polymorph listed for this composition = 0.2047 eV/atom
DFT formation energy = 0.40 eV per atom

a = 4.6651 Å, b = 4.6817 Å, c = 6.6018 Å
α = 90.00°, β = 90.00°, γ = 90.00°
With the nearest neighbours (Å) after each atom.
Space group Immm (No. 71)
Inequivalent atoms, fractional coordinates:
Fe1 0.0000 0.0000 0.0000 [2 per cell]  8 Pb 2.86
Rh1 0.0000 0.0000 0.5000 [2 per cell]  8 Pb 2.86
Pb1 0.0000 0.5000 0.2501 [4 per cell]  4 Fe 2.86, 4 Rh 2.86

[4]
Compound: FeRhPb2
Source: the Alexandria database
Functional: GGA-PBEsol
Structure: relaxed

Summary:
V = 259 Å³/cell
Energy relative to the lowest polymorph listed for this composition = 0.0763 eV/atom
DFT formation energy = 0.27 eV per atom

a = 4.0245 Å, b = 4.0245 Å, c = 18.4682 Å
α = 90.00°, β = 90.00°, γ = 120.00°
With the nearest neighbours (Å) after each atom.
Space group R3m (No. 160, hexagonal axes)
Inequivalent atoms, fractional coordinates:
Fe1 0.0000 0.0000 0.0000 [3 per cell]  3 Rh 2.35
Rh1 0.0000 0.0000 0.6847 [3 per cell]  3 Fe 2.35
Pb1 0.0000 0.0000 0.2458 [3 per cell]  3 Fe 2.83, 3 Rh 3.03
Pb2 0.0000 0.0000 0.4426 [3 per cell]  3 Rh 2.87, 3 Fe 3.08